{"formula": "AgGe3Cl", "functional": "GGA-PBE", "state": "relaxed", "lattice_angstrom": [[5.088, 0.000, 0.000], [0.000, 5.088, 0.000], [0.000, 0.000, 5.088]], "species": ["Ag", "Ge", "Ge", "Ge", "Cl"], "frac_coords": [[0.000, 0.000, 0.000], [0.000, 0.000, 0.500], [0.000, 0.500, 0.000], [0.500, 0.000, 0.000], [0.500, 0.500, 0.500]], "dft_energy_ev_per_cell": -15.39, "n_ef_per_ev_cell": 4.8, "formation_energy_uncorrected_mev_per_atom": 632.7, "vol_a3_per_cell": 131.71, "magmom_total_mub_per_cell": 0.0, "polymorph_energy_mev_per_atom": 0, "space_group": "No. 221"}